A plane-wave DFT calculation with SCAN was carried out for a crystal of KAgP2 relaxed with PBEsol.

Cell: 4.4143 4.4143 16.9952 Å, 90.00 90.00 120.00°
With the nearest neighbours (Å) after each atom.
Space group R-3m (No. 166, hexagonal axes)
Inequivalent atoms, fractional coordinates:
K 0.0000 0.0000 0.0000 (multiplicity 3)  8 P 3.24-3.52
Ag 0.0000 0.0000 0.5000 (multiplicity 3)  6 P 2.58
P 0.0000 0.0000 0.1907 (multiplicity 6)  3 Ag 2.58, 3 P 2.68

Calculated values
Calculated density: 3.629 g/cm3
Formation enthalpy at 0 K: 0.22 eV/f.u.
Total magnetization: 0.00 μB per cell
Total energy: -15.07 eV/atom
Density of states at the Fermi level: 0.2467 states/eV/atom
ΔE to the lowest computed polymorph: 0 meV per atom

---

A plane-wave DFT calculation with SCAN was carried out for a crystal of KAgP4 relaxed with PBEsol.

Cell: 8.2201 8.2201 8.2201 Å, 90.00 90.00 90.00°
With the nearest neighbours (Å) after each atom.
Space group F-43m (No. 216)
Inequivalent atoms, fractional coordinates:
K 0.0000 0.0000 0.0000 (multiplicity 4)  12 P 3.51, 4 Ag 3.56
Ag 0.2500 0.2500 0.7500 (multiplicity 4)  12 P 3.36, 4 K 3.56
P 0.0953 0.0953 0.4047 (multiplicity 16)  3 P 2.22

Calculated values
Calculated density: 3.239 g/cm3
Formation enthalpy at 0 K: 0.96 eV/f.u.
Total magnetization: 0.00 μB per cell
Total energy: -13.39 eV/atom

---

A plane-wave DFT calculation with SCAN was carried out for a crystal of KAgP2 relaxed with PBEsol.

Cell: 3.3027 3.3027 25.9422 Å, 90.00 90.00 120.00°
With the nearest neighbours (Å) after each atom.
Space group R3m (No. 160, hexagonal axes)
Inequivalent atoms, fractional coordinates:
K 0.0000 0.0000 0.0000 (multiplicity 3)  3 P 3.21, 6 K 3.30, 3 Ag 3.40
Ag 0.0000 0.0000 0.2249 (multiplicity 3)  3 P 2.73
P 0.0000 0.0000 0.4830 (multiplicity 3)  3 P 2.31
P 0.0000 0.0000 0.7663 (multiplicity 3)  3 P 2.31

Calculated values
Calculated density: 4.247 g/cm3
Formation enthalpy at 0 K: 0.65 eV/f.u.
Total magnetization: 0.00 μB per cell
Total energy: -14.96 eV/atom
Density of states at the Fermi level: 0.1363 states/eV/atom
ΔE to the lowest computed polymorph: 106 meV per atom

---

A plane-wave DFT calculation with SCAN was carried out for a crystal of KAgPSe3 relaxed with PBEsol.

Cell: 8.5087 11.0336 20.7227 Å, 90.00 93.38 90.00°
With the nearest neighbours (Å) after each atom.
Space group P2_1/c (No. 14)
Inequivalent atoms, fractional coordinates:
K 0.0408 0.2065 0.0094 (multiplicity 4)  6 Se 3.31-3.57
K 0.3115 0.6568 0.2904 (multiplicity 4)  8 Se 3.30-3.62
K 0.3618 0.0182 0.6027 (multiplicity 4)  7 Se 3.33-3.71
Ag 0.0395 0.1507 0.7777 (multiplicity 4)  4 Se 2.59-2.69
Ag 0.3254 0.5332 0.6361 (multiplicity 4)  4 Se 2.56-2.80
Ag 0.3821 0.2198 0.8968 (multiplicity 4)  4 Se 2.61-2.66
P 0.0962 0.0453 0.3591 (multiplicity 4)  3 Se 2.20-2.22, 1 P 2.30
P 0.2276 0.0795 0.2672 (multiplicity 4)  3 Se 2.20-2.23, 1 P 2.30
P 0.4270 0.5768 0.4742 (multiplicity 4)  3 Se 2.19-2.23, 1 P 2.32
Se 0.0168 0.6439 0.8512 (multiplicity 4)  1 P 2.20
Se 0.0502 0.0602 0.1843 (multiplicity 4)  1 P 2.23
Se 0.0908 0.6853 0.1470 (multiplicity 4)  1 P 2.22
Se 0.2316 0.0144 0.9195 (multiplicity 4)  1 P 2.20
Se 0.2681 0.0775 0.4410 (multiplicity 4)  1 P 2.20
Se 0.3269 0.2360 0.7717 (multiplicity 4)  1 P 2.20
Se 0.3330 0.6976 0.5493 (multiplicity 4)  1 P 2.23
Se 0.4125 0.5595 0.7626 (multiplicity 4)  1 P 2.20
Se 0.4144 0.1736 0.0876 (multiplicity 4)  1 P 2.19

Calculated values
Calculated density: 4.256 g/cm3
Total magnetization: 0.00 μB per cell
Total energy: -18.97 eV/atom
Density of states at the Fermi level: 0.0000 states/eV/atom
Formation energy from raw total energies: -55.7 kJ per mole of atoms

---

A plane-wave DFT calculation with SCAN was carried out for a crystal of KAgPb2 relaxed with PBEsol.

Cell: 6.5510 10.3857 3.1768 Å, 90.00 90.00 90.00°
With the nearest neighbours (Å) after each atom.
Space group Cmmm (No. 65)
Inequivalent atoms, fractional coordinates:
K 0.0000 0.0000 0.0000 (multiplicity 2)  2 K 3.18, 2 Ag 3.28, 8 Pb 3.46
Ag 0.0000 0.5000 0.0000 (multiplicity 2)  2 Ag 3.18, 2 K 3.28, 8 Pb 3.46
Pb 0.2500 0.2500 0.5000 (multiplicity 4)  4 Pb 3.18-3.28, 4 K 3.46, 4 Ag 3.46

Calculated values
Calculated density: 8.626 g/cm3
Formation enthalpy at 0 K: 0.26 eV/f.u.
Total magnetization: 0.00 μB per cell
Total energy: -47.75 eV/atom
Density of states at the Fermi level: 0.4503 states/eV/atom

---

A plane-wave DFT calculation with SCAN was carried out for a crystal of KAg2Pb relaxed with PBEsol.

Cell: 4.5989 4.5989 8.9388 Å, 90.00 90.00 90.00°
With the nearest neighbours (Å) after each atom.
Space group I-4m2 (No. 119)
Inequivalent atoms, fractional coordinates:
K 0.0000 0.0000 0.0000 (multiplicity 2)  4 Pb 3.21, 8 Ag 3.21-3.25
Ag 0.0000 0.0000 0.5000 (multiplicity 2)  4 Pb 3.21, 4 Ag 3.21, 4 K 3.25
Ag 0.0000 0.5000 0.7500 (multiplicity 2)  4 K 3.21, 4 Ag 3.21, 4 Pb 3.25
Pb 0.0000 0.5000 0.2500 (multiplicity 2)  4 K 3.21, 8 Ag 3.21-3.25

Calculated values
Calculated density: 8.116 g/cm3
Formation enthalpy at 0 K: 0.70 eV/f.u.
Total magnetization: 0.00 μB per cell
Total energy: -36.53 eV/atom
Density of states at the Fermi level: 0.3739 states/eV/atom

---

Repeat the third record exactly.
A plane-wave DFT calculation with SCAN was carried out for a crystal of KAgP2 relaxed with PBEsol.

Cell: 3.3027 3.3027 25.9422 Å, 90.00 90.00 120.00°
With the nearest neighbours (Å) after each atom.
Space group R3m (No. 160, hexagonal axes)
Inequivalent atoms, fractional coordinates:
K 0.0000 0.0000 0.0000 (multiplicity 3)  3 P 3.21, 6 K 3.30, 3 Ag 3.40
Ag 0.0000 0.0000 0.2249 (multiplicity 3)  3 P 2.73
P 0.0000 0.0000 0.4830 (multiplicity 3)  3 P 2.31
P 0.0000 0.0000 0.7663 (multiplicity 3)  3 P 2.31

Calculated values
Calculated density: 4.247 g/cm3
Formation enthalpy at 0 K: 0.65 eV/f.u.
Total magnetization: 0.00 μB per cell
Total energy: -14.96 eV/atom
Density of states at the Fermi level: 0.1363 states/eV/atom
ΔE to the lowest computed polymorph: 106 meV per atom